# PBE-GGA ZnGa2Au, relaxed
data_ZnGa2Au
_cell_length_a 7.592
_cell_length_b 7.592
_cell_length_c 5.357
_cell_angle_alpha 90.00
_cell_angle_beta 90.00
_cell_angle_gamma 90.00
_space_group_name_H-M_alt 'I -4 2 d'
_space_group_IT_number 122
_space_group_name_Hall 'I -4 2bw'
loop_
_atom_site_label
_atom_site_fract_x
_atom_site_fract_y
_atom_site_fract_z
_atom_site_occupancy
Zn1 0.000 0.000 0.000 1
Ga1 0.236 0.750 0.625 1
Au1 0.000 0.000 0.500 1
# calculated volume	19.3	Å³ per atom
# magnetization	0.00	Bohr magnetons per cell
# theoretical density	8.643	g/cm³
# density of states at the Fermi level	0.387	states/eV/atom
# calculated total energy	-2.65	eV per atom
# energy of formation	0.00	eV per atom

***

# PBE-GGA HfPa2Os, relaxed
data_HfPa2Os
_cell_length_a 3.0589
_cell_length_b 3.0589
_cell_length_c 32.0687
_cell_angle_alpha 90.00
_cell_angle_beta 90.00
_cell_angle_gamma 120.00
_space_group_name_H-M_alt 'R -3 m'
_space_group_IT_number 166
_space_group_name_Hall '-R 3 2"'
loop_
_atom_site_label
_atom_site_fract_x
_atom_site_fract_y
_atom_site_fract_z
_atom_site_occupancy
Hf1 0.0000 0.0000 0.0000 1
Pa1 0.0000 0.0000 0.0932 1
Os1 0.0000 0.0000 0.5000 1
# calculated volume	21.7	Å³ per atom
# magnetization	0.00	Bohr magnetons per cell
# theoretical density	15.927	g/cm³
# density of states at the Fermi level	1.323	states/eV/atom
# calculated total energy	-9.78	eV per atom
# energy of formation	0.26	eV per atom

***

# PBE-GGA TmScCdOs, relaxed
data_TmScCdOs
_cell_length_a 6.853
_cell_length_b 6.853
_cell_length_c 6.853
_cell_angle_alpha 90.00
_cell_angle_beta 90.00
_cell_angle_gamma 90.00
_space_group_name_H-M_alt 'F -4 3 m'
_space_group_IT_number 216
_space_group_name_Hall 'F -4 2 3'
loop_
_atom_site_label
_atom_site_fract_x
_atom_site_fract_y
_atom_site_fract_z
_atom_site_occupancy
Tm1 0.000 0.000 0.000 1
Sc1 0.000 0.000 0.500 1
Cd1 0.250 0.250 0.750 1
Os1 0.250 0.250 0.250 1
# calculated volume	20.1	Å³ per atom
# magnetization	0.00	Bohr magnetons per cell
# theoretical density	10.662	g/cm³
# density of states at the Fermi level	0.823	states/eV/atom
# calculated total energy	-6.02	eV per atom
# energy of formation	-0.28	eV per atom
# E above lowest polymorph	2.80	kcal/mol of atoms